Material: CsCr2CdI8
Method: DFT, PBE
State: relaxed

## Properties
Its uncorrected formation energy is -483.7 meV per atom. For the total magnetic moment, the calculation gives 0.583 μB/atom.

Cell and atoms, written as POSCAR:
```
CsCr2CdI8
1.0
3.759 2.170 10.568
-3.759 2.170 10.568
0.000 -4.341 10.568
Cs Cr Cd I
1 2 1 8
Cartesian
0.000 0.000 0.000
0.000 0.000 7.662
0.000 0.000 24.043
0.000 0.000 15.852
-1.173 -2.156 14.050
-2.453 -0.062 17.654
0.000 0.000 10.247
-1.281 2.094 14.050
1.281 -2.094 17.654
0.000 0.000 21.458
2.454 0.062 14.050
1.173 2.156 17.654
```